No. 1
Below is a relaxed structure of Ca2SnPdPb, with properties calculated at the GGA-PBE level.

a b c (Å): 5.5022 5.5022 5.0542
angles (deg): 90.00 90.00 90.00
Space group P4/mmm (No. 123)
One atom of each set of equivalent atoms:
Ca  0.0000  0.5000  0.0000 [2 per cell]
Sn  0.0000  0.0000  0.5000 [1 per cell]
Pd  0.0000  0.0000  0.0000 [1 per cell]
Pb  0.5000  0.5000  0.5000 [1 per cell]

The energy is -19.2 eV for the cell shown. The formation energy comes out at -460 meV per atom. As for the magnetization: 0.00 μB/f.u.

---

No. 2
Below is a relaxed structure of MgCu2HgCl, with properties calculated at the GGA-PBE level.

a b c (Å): 4.8472 4.8472 5.9810
angles (deg): 90.00 90.00 90.00
Space group P4/mmm (No. 123)
One atom of each set of equivalent atoms:
Mg  0.0000  0.0000  0.0000 [1 per cell]
Cu  0.0000  0.5000  0.5000 [2 per cell]
Hg  0.5000  0.5000  0.5000 [1 per cell]
Cl  0.5000  0.5000  0.0000 [1 per cell]

The energy is -9.4 eV for the cell shown. As for the formation energy without anion corrections: 0.502 eV/atom. As for the magnetization: 0.00 μB/f.u.